(1)
Below is a geometry-optimized RbVAu structure, with properties calculated at the PBE-GGA level.

space group = No. 8
energy of formation = 1.5 eV/f.u.

a b c (Å): 3.182 4.340 12.603
angles (deg): 90.00 90.47 90.00
Site moments in Bohr magnetons follow the coordinates.
Sites, in units of the cell vectors:
Au (0.107, 0.000, 0.332)  0.10
Au (0.107, 0.500, 0.832)  0.10
Rb (0.600, 0.000, 0.606)  0.03
Rb (0.600, 0.500, 0.106)  0.03
V (0.609, 0.000, 0.875)  2.71
V (0.609, 0.500, 0.375)  2.71

=====

(2)
Below is a geometry-optimized BaCaNb4O12 structure, with properties calculated at the PBE-GGA level.

energy relative to the elements, uncorrected = -47.95 eV per formula unit
space group = No. 65

a b c (Å): 5.685 5.685 8.039
angles (deg): 90.00 90.00 90.10
Sites, in units of the cell vectors:
Ba (0.500, 0.500, 0.000)
Ca (0.000, 0.000, 0.500)
Nb (0.500, 0.000, 0.253)
Nb (0.500, 0.000, 0.747)
Nb (0.000, 0.500, 0.253)
Nb (0.000, 0.500, 0.747)
O (0.745, 0.255, 0.256)
O (0.745, 0.255, 0.744)
O (0.255, 0.745, 0.256)
O (0.255, 0.745, 0.744)
O (0.761, 0.761, 0.742)
O (0.761, 0.761, 0.258)
O (0.239, 0.239, 0.258)
O (0.239, 0.239, 0.742)
O (0.500, 0.000, 0.000)
O (0.500, 0.000, 0.500)
O (0.000, 0.500, 0.000)
O (0.000, 0.500, 0.500)

=====

(3)
Below is a geometry-optimized LiAcAl2Zn4 structure, with properties calculated at the PBE-GGA level.

space group = No. 166
energy of formation = -1.9 eV/f.u.

a b c (Å): 4.412 4.412 9.386
angles (deg): 76.41 76.41 60.00
Sites, in units of the cell vectors:
Li (0.500, 0.500, 0.500)
Ac (0.000, 0.000, 0.000)
Al (0.763, 0.763, 0.711)
Al (0.237, 0.237, 0.289)
Zn (0.406, 0.406, 0.783)
Zn (0.867, 0.867, 0.399)
Zn (0.133, 0.133, 0.601)
Zn (0.594, 0.594, 0.217)

=====

(4)
Below is a geometry-optimized ScNiGe structure, with properties calculated at the PBE-GGA level.

space group = No. 62
energy of formation = -2.5 eV/f.u.

a b c (Å): 4.101 6.483 7.093
angles (deg): 90.00 90.00 90.00
Sites, in units of the cell vectors:
Sc (0.750, 0.506, 0.708)
Sc (0.250, 0.494, 0.292)
Sc (0.750, 0.006, 0.792)
Sc (0.250, 0.994, 0.208)
Ni (0.750, 0.809, 0.420)
Ni (0.250, 0.191, 0.580)
Ni (0.750, 0.309, 0.080)
Ni (0.250, 0.691, 0.920)
Ge (0.750, 0.204, 0.408)
Ge (0.250, 0.796, 0.592)
Ge (0.750, 0.704, 0.092)
Ge (0.250, 0.296, 0.908)

=====

(5)
Below is a geometry-optimized ReBr2Cl structure, with properties calculated at the PBE-GGA level.

energy relative to the elements, uncorrected = 2.02 eV per formula unit
space group = No. 166

a b c (Å): 10.010 10.010 10.010
angles (deg): 19.32 19.32 19.32
Sites, in units of the cell vectors:
Re (0.500, 0.500, 0.500)
Br (0.892, 0.892, 0.892)
Br (0.108, 0.108, 0.108)
Cl (0.000, 0.000, 0.000)

=====

(6)
Below is a geometry-optimized Cs3LaCu2Br9 structure, with properties calculated at the PBE-GGA level.

energy relative to the elements, uncorrected = -19.99 eV per formula unit
space group = No. 164

a b c (Å): 7.798 7.798 9.678
angles (deg): 90.00 90.00 120.00
Site moments in Bohr magnetons follow the coordinates.
Sites, in units of the cell vectors:
Cs (0.333, 0.667, 0.681)  0.00
Cs (0.000, 0.000, 0.000)  0.00
Cs (0.667, 0.333, 0.319)  0.00
La (0.000, 0.000, 0.500)  0.01
Cu (0.333, 0.667, 0.133)  0.30
Cu (0.667, 0.333, 0.867)  0.30
Br (0.825, 0.175, 0.678)  0.01
Br (0.825, 0.650, 0.678)  0.01
Br (0.350, 0.175, 0.678)  0.01
Br (0.650, 0.825, 0.322)  0.01
Br (0.175, 0.350, 0.322)  0.01
Br (0.175, 0.825, 0.322)  0.01
Br (0.500, 0.000, 0.000)  0.08
Br (0.000, 0.500, 0.000)  0.08
Br (0.500, 0.500, 0.000)  0.08

=====

(7)
Below is a geometry-optimized Cr2CuTc structure, with properties calculated at the PBE-GGA level.

space group = No. 123
energy of formation = 0.9 eV/f.u.

a b c (Å): 3.713 3.711 3.627
angles (deg): 90.00 90.00 90.00
Site moments in Bohr magnetons follow the coordinates.
Sites, in units of the cell vectors:
Cr (0.000, 0.000, 0.000)  0.76
Cr (0.500, 0.500, 0.000)  -0.76
Cu (0.500, 0.000, 0.500)  0.00
Tc (0.000, 0.500, 0.500)  0.00

=====

(8)
Below is a geometry-optimized Ce3PbSe2 structure, with properties calculated at the PBE-GGA level.

energy relative to the elements, uncorrected = -7.85 eV per formula unit
space group = No. 71

a b c (Å): 4.338 6.149 7.493
angles (deg): 114.22 106.83 90.00
Site moments in Bohr magnetons follow the coordinates.
Sites, in units of the cell vectors:
Ce (0.320, 0.320, 0.641)  0.84
Ce (0.000, 0.000, 0.000)  0.81
Ce (0.680, 0.680, 0.359)  0.84
Pb (0.000, 0.500, 0.000)  -0.02
Se (0.662, 0.162, 0.325)  -0.03
Se (0.338, 0.838, 0.675)  -0.03

=====

(9)
Below is a geometry-optimized Tb4Pr2NdSm2 structure, with properties calculated at the PBE-GGA level.

space group = No. 12
energy of formation = 0.0 eV/f.u.

a b c (Å): 3.657 9.660 9.711
angles (deg): 115.22 90.00 100.91
Sites, in units of the cell vectors:
Tb (0.814, 0.629, 0.664)
Tb (0.186, 0.371, 0.336)
Tb (0.519, 0.039, 0.335)
Tb (0.481, 0.961, 0.665)
Pr (0.334, 0.668, 0.999)
Pr (0.666, 0.332, 0.001)
Nd (0.000, 0.000, 0.000)
Sm (0.853, 0.706, 0.337)
Sm (0.147, 0.294, 0.663)

=====

(10)
Below is a geometry-optimized NaNb2SiP structure, with properties calculated at the PBE-GGA level.

energy relative to the elements, uncorrected = 2.95 eV per formula unit
space group = No. 123

a b c (Å): 4.686 4.676 4.686
angles (deg): 90.00 90.00 90.00
Sites, in units of the cell vectors:
P (0.000, 0.000, 0.000)
Nb (0.000, 0.000, 0.500)
Nb (0.500, 0.000, 0.000)
Si (0.000, 0.500, 0.000)
Na (0.500, 0.500, 0.500)

=====

(11)
Below is a geometry-optimized TeWAu2 structure, with properties calculated at the PBE-GGA level.

energy relative to the elements, uncorrected = 1.56 eV per formula unit
space group = No. 99

a b c (Å): 3.302 3.302 7.107
angles (deg): 90.00 90.00 90.00
Sites, in units of the cell vectors:
Au (0.000, 0.000, 0.990)
Au (0.500, 0.500, 0.218)
Te (0.000, 0.000, 0.534)
W (0.500, 0.500, 0.758)

=====

(12)
Below is a geometry-optimized Y5Tm structure, with properties calculated at the PBE-GGA level.

space group = No. 65
energy of formation = 0.2 eV/f.u.

a b c (Å): 5.024 5.031 7.965
angles (deg): 108.41 90.00 90.00
Sites, in units of the cell vectors:
Y (0.000, 0.666, 0.332)
Y (0.000, 0.334, 0.668)
Y (0.500, 0.500, 0.000)
Y (0.500, 0.166, 0.332)
Y (0.500, 0.834, 0.668)
Tm (0.000, 0.000, 0.000)

=====

(13)
Below is a geometry-optimized AcPrRh2 structure, with properties calculated at the PBE-GGA level.

space group = No. 225
energy of formation = -2.2 eV/f.u.

a b c (Å): 5.151 5.151 5.151
angles (deg): 60.00 60.00 60.00
Sites, in units of the cell vectors:
Pr (0.500, 0.500, 0.500)
Ac (0.000, 0.000, 0.000)
Rh (0.250, 0.250, 0.250)
Rh (0.750, 0.750, 0.750)

=====

(14)
Below is a geometry-optimized Cr2OsCl structure, with properties calculated at the PBE-GGA level.

energy relative to the elements, uncorrected = 2.75 eV per formula unit
space group = No. 12

a b c (Å): 6.848 4.671 2.829
angles (deg): 84.00 74.30 130.62
Site moments in Bohr magnetons follow the coordinates.
Sites, in units of the cell vectors:
Cr (0.000, 0.000, 0.000)  2.96
Cr (0.500, 0.000, 0.500)  2.96
Os (0.000, 0.500, 0.500)  -0.64
Cl (0.500, 0.500, 0.000)  0.01

=====

(15)
Below is a geometry-optimized Cr2HgS4 structure, with properties calculated at the PBE-GGA level.

energy relative to the elements, uncorrected = -2.44 eV per formula unit
space group = No. 2

a b c (Å): 6.507 7.696 12.717
angles (deg): 82.55 85.32 90.28
Site moments in Bohr magnetons follow the coordinates.
Sites, in units of the cell vectors:
Cr (0.147, 0.706, 0.706)  2.60
Cr (0.853, 0.294, 0.294)  2.60
Cr (0.251, 0.889, 0.997)  2.95
Cr (0.749, 0.111, 0.003)  2.95
Cr (0.362, 0.545, 0.285)  2.98
Cr (0.638, 0.455, 0.715)  2.98
Cr (0.372, 0.059, 0.288)  2.94
Cr (0.628, 0.941, 0.712)  2.94
Hg (0.116, 0.206, 0.702)  0.07
Hg (0.884, 0.794, 0.298)  0.07
Hg (0.248, 0.379, 0.999)  0.06
Hg (0.752, 0.621, 0.001)  0.06
S (0.133, 0.693, 0.880)  -0.09
S (0.867, 0.307, 0.120)  -0.09
S (0.086, 0.136, 0.908)  -0.06
S (0.914, 0.864, 0.092)  -0.06
S (0.248, 0.788, 0.358)  -0.10
S (0.752, 0.212, 0.642)  -0.10
S (0.179, 0.286, 0.346)  -0.13
S (0.821, 0.714, 0.654)  -0.13
S (0.324, 0.948, 0.635)  -0.11
S (0.676, 0.052, 0.365)  -0.11
S (0.328, 0.489, 0.641)  -0.09
S (0.672, 0.511, 0.359)  -0.09
S (0.419, 0.069, 0.108)  -0.12
S (0.581, 0.931, 0.892)  -0.12
S (0.363, 0.623, 0.107)  -0.08
S (0.637, 0.377, 0.893)  -0.08

=====

(16)
Below is a geometry-optimized K4Hg2Pd structure, with properties calculated at the PBE-GGA level.

space group = No. 166
energy of formation = -1.0 eV/f.u.

a b c (Å): 5.719 5.719 10.822
angles (deg): 74.68 74.68 60.00
Sites, in units of the cell vectors:
K (0.366, 0.366, 0.903)
K (0.207, 0.207, 0.379)
K (0.793, 0.793, 0.621)
K (0.634, 0.634, 0.097)
Hg (0.088, 0.088, 0.737)
Hg (0.912, 0.912, 0.263)
Pd (0.000, 0.000, 0.000)

=====

(17)
Below is a geometry-optimized Rb2BaPu3O12 structure, with properties calculated at the PBE-GGA level.

energy relative to the elements, uncorrected = -44.16 eV per formula unit
space group = No. 166

a b c (Å): 7.511 7.511 7.511
angles (deg): 64.99 64.99 64.99
Site moments in Bohr magnetons follow the coordinates.
Sites, in units of the cell vectors:
Rb (0.611, 0.611, 0.611)  0.00
Rb (0.389, 0.389, 0.389)  0.00
Ba (0.000, 0.000, 0.000)  0.00
Pu (0.500, 0.000, 0.000)  1.75
Pu (0.000, 0.500, 0.000)  1.75
Pu (0.000, 0.000, 0.500)  1.75
O (0.269, 0.269, 0.896)  -0.10
O (0.873, 0.873, 0.444)  -0.09
O (0.444, 0.873, 0.873)  -0.09
O (0.896, 0.269, 0.269)  -0.10
O (0.873, 0.444, 0.873)  -0.09
O (0.269, 0.896, 0.269)  -0.10
O (0.731, 0.731, 0.104)  -0.10
O (0.127, 0.127, 0.556)  -0.09
O (0.556, 0.127, 0.127)  -0.09
O (0.104, 0.731, 0.731)  -0.10
O (0.127, 0.556, 0.127)  -0.09
O (0.731, 0.104, 0.731)  -0.10

=====

(18)
Below is a geometry-optimized YCl4 structure, with properties calculated at the PBE-GGA level.

energy relative to the elements, uncorrected = -7.45 eV per formula unit
space group = No. 221

a b c (Å): 5.305 5.305 5.305
angles (deg): 90.00 90.00 90.00
Site moments in Bohr magnetons follow the coordinates.
Sites, in units of the cell vectors:
Y (0.500, 0.500, 0.500)  0.00
Cl (0.000, 0.000, 0.000)  0.62
Cl (0.500, 0.000, 0.500)  0.05
Cl (0.000, 0.500, 0.500)  0.05
Cl (0.500, 0.500, 0.000)  0.05

=====

(19)
Below is a geometry-optimized LiYNi2 structure, with properties calculated at the PBE-GGA level.

space group = No. 47
energy of formation = -0.5 eV/f.u.

a b c (Å): 3.250 3.353 6.674
angles (deg): 59.84 90.00 90.00
Sites, in units of the cell vectors:
Li (0.500, 0.750, 0.750)
Ni (0.000, 0.035, 0.965)
Ni (0.000, 0.465, 0.535)
Y (0.500, 0.250, 0.250)

=====

(20)
Below is a geometry-optimized NaNd2BO5 structure, with properties calculated at the PBE-GGA level.

energy relative to the elements, uncorrected = -22.00 eV per formula unit
space group = No. 127

a b c (Å): 5.252 6.665 6.665
angles (deg): 90.00 90.00 90.00
Sites, in units of the cell vectors:
Na (0.000, 0.500, 0.500)
Na (0.000, 0.000, 0.000)
Nd (0.500, 0.680, 0.180)
Nd (0.500, 0.180, 0.320)
Nd (0.500, 0.820, 0.680)
Nd (0.500, 0.320, 0.820)
B (0.000, 0.000, 0.500)
B (0.000, 0.500, 0.000)
O (0.500, 0.500, 0.500)
O (0.500, 0.000, 0.000)
O (0.215, 0.119, 0.619)
O (0.215, 0.881, 0.381)
O (0.215, 0.381, 0.119)
O (0.215, 0.619, 0.881)
O (0.785, 0.119, 0.619)
O (0.785, 0.619, 0.881)
O (0.785, 0.881, 0.381)
O (0.785, 0.381, 0.119)

=====

(21)
Below is a geometry-optimized Na2TbTiO4 structure, with properties calculated at the PBE-GGA level.

energy relative to the elements, uncorrected = -20.24 eV per formula unit
space group = No. 10

a b c (Å): 3.256 5.625 5.859
angles (deg): 108.77 90.00 90.00
Site moments in Bohr magnetons follow the coordinates.
Sites, in units of the cell vectors:
Na (0.500, 0.000, 0.500)  0.00
Na (0.000, 0.500, 0.500)  0.00
Tb (0.500, 0.500, 0.000)  0.04
Ti (0.000, 0.000, 0.000)  0.81
O (0.500, 0.218, 0.206)  0.00
O (0.500, 0.782, 0.794)  0.00
O (0.000, 0.238, 0.788)  0.00
O (0.000, 0.762, 0.212)  0.00

=====

(22)
Below is a geometry-optimized Dy7PbS5 structure, with properties calculated at the PBE-GGA level.

energy relative to the elements, uncorrected = -21.28 eV per formula unit
space group = No. 12

a b c (Å): 3.954 6.785 23.521
angles (deg): 89.99 90.00 106.98
Sites, in units of the cell vectors:
Dy (0.487, 0.974, 0.250)
Dy (0.514, 0.027, 0.750)
Dy (0.637, 0.274, 0.036)
Dy (0.364, 0.727, 0.964)
Dy (0.364, 0.727, 0.536)
Dy (0.637, 0.274, 0.464)
Dy (0.175, 0.350, 0.171)
Dy (0.826, 0.651, 0.829)
Dy (0.826, 0.651, 0.671)
Dy (0.175, 0.350, 0.329)
Dy (0.907, 0.814, 0.110)
Dy (0.093, 0.187, 0.890)
Dy (0.093, 0.186, 0.610)
Dy (0.908, 0.815, 0.390)
Pb (0.803, 0.605, 0.250)
Pb (0.198, 0.396, 0.750)
S (0.000, 0.001, 0.000)
S (0.727, 0.453, 0.930)
S (0.274, 0.548, 0.070)
S (0.544, 0.088, 0.361)
S (0.457, 0.914, 0.639)
S (0.000, 0.001, 0.500)
S (0.274, 0.548, 0.430)
S (0.727, 0.453, 0.570)
S (0.457, 0.914, 0.861)
S (0.544, 0.087, 0.139)